1.
## TeOs2Pb (PBE)

Data for an optimized crystal structure of TeOs2Pb.

Properties
ΔE_f (raw) ... 1.31 eV/atom
Mass density ... 10969 kg/m³
Space-group type ... No. 122

Lattice parameters (Å, degrees): 7.212 7.212 7.212 129.71 129.71 73.87
Positions (direct):
Te  0.000  0.000  0.000
Te  0.750  0.250  0.500
Os  0.103  0.625  0.978
Os  0.375  0.353  0.478
Os  0.647  0.125  0.022
Os  0.875  0.897  0.522
Pb  0.250  0.750  0.500
Pb  0.500  0.500  0.000

=====

2.
## Na3LaPb (PBE)

Data for an optimized crystal structure of Na3LaPb.

Properties
Mass density ... 3073 kg/m³
Space-group type ... No. 221
Energy ... -7.55 eV for the cell shown

Lattice parameters (Å, degrees): 6.076 6.076 6.076 90.00 90.00 90.00
Positions (direct):
Na  0.000  0.000  0.500
Na  0.000  0.500  0.000
Na  0.500  0.000  0.000
La  0.000  0.000  0.000
Pb  0.500  0.500  0.500

=====

3.
## Ta2IrF (PBE)

Data for an optimized crystal structure of Ta2IrF.

Properties
ΔE_f (raw) ... -0.55 eV/atom
Mass density ... 15369 kg/m³
Space-group type ... No. 225

Lattice parameters (Å, degrees): 4.441 4.441 4.441 60.00 60.00 60.00
Positions (direct):
Ta  0.250  0.250  0.250
Ta  0.750  0.750  0.750
Ir  0.000  0.000  0.000
F  0.500  0.500  0.500

=====

4.
## CeSn2Pt (PBE)

Data for an optimized crystal structure of CeSn2Pt.

Properties
Mass density ... 9652 kg/m³
Space-group type ... No. 71
Energy ... -92.05 eV for the cell shown

Lattice parameters (Å, degrees): 10.359 10.359 10.359 154.05 125.33 61.48
Positions (direct):
Ce  0.204  0.204  0.000
Ce  0.240  0.000  0.240
Ce  0.760  0.000  0.760
Ce  0.796  0.796  0.000
Sn  0.077  0.577  0.500
Sn  0.144  0.801  0.343
Sn  0.420  0.420  0.000
Sn  0.458  0.801  0.657
Sn  0.542  0.199  0.343
Sn  0.580  0.580  0.000
Sn  0.856  0.199  0.657
Sn  0.923  0.423  0.500
Pt  0.098  0.352  0.746
Pt  0.394  0.648  0.746
Pt  0.606  0.352  0.254
Pt  0.902  0.648  0.254

=====

5.
## TcTe2F (PBE)

Data for an optimized crystal structure of TcTe2F.

Properties
ΔE_f (raw) ... -0.43 eV/atom
Mass density ... 6005 kg/m³
Space-group type ... No. 166

Lattice parameters (Å, degrees): 7.503 7.503 7.503 31.59 31.59 31.59
Positions (direct):
Tc  0.000  0.000  0.000
Te  0.393  0.393  0.393
Te  0.607  0.607  0.607
F  0.500  0.500  0.500

=====

6.
## YNiCl4 (PBE)

Data for an optimized crystal structure of YNiCl4.

Properties
ΔE_f (raw) ... 0.18 eV/atom
Mass density ... 3582 kg/m³
Space-group type ... No. 216

Lattice parameters (Å, degrees): 5.746 5.746 5.746 60.00 60.00 60.00
Positions (direct):
Y  0.000  0.000  0.000
Ni  0.250  0.250  0.250
Cl  0.126  0.625  0.625
Cl  0.625  0.126  0.625
Cl  0.625  0.625  0.126
Cl  0.625  0.625  0.625

=====

7.
## Na3CdGa (PBE)

Data for an optimized crystal structure of Na3CdGa.

Properties
Mass density ... 2295 kg/m³
Space-group type ... No. 221
Energy ... -6.71 eV for the cell shown

Lattice parameters (Å, degrees): 5.664 5.664 5.664 90.00 90.00 90.00
Positions (direct):
Na  0.000  0.000  0.500
Na  0.000  0.500  0.000
Na  0.500  0.000  0.000
Cd  0.500  0.500  0.500
Ga  0.000  0.000  0.000

=====

8.
## GdDyHoSc (PBE)

Data for an optimized crystal structure of GdDyHoSc.

Properties
Mass density ... 7356 kg/m³
Space-group type ... No. 216
Energy ... -29.13 eV for the cell shown

Lattice parameters (Å, degrees): 5.530 5.530 5.530 60.00 60.00 60.00
Positions (direct):
Gd  0.000  0.000  0.000
Dy  0.500  0.500  0.500
Ho  0.250  0.250  0.250
Sc  0.750  0.750  0.750

=====

9.
## KBaPrI6 (PBE)

Data for an optimized crystal structure of KBaPrI6.

Properties
ΔE_f (raw) ... -1.55 eV/atom
Mass density ... 3715 kg/m³
Space-group type ... No. 163

Lattice parameters (Å, degrees): 8.588 8.588 15.098 90.00 90.00 120.00
Positions (direct):
K  0.000  0.000  0.000
K  0.000  0.000  0.500
Ba  0.333  0.667  0.250
Ba  0.667  0.333  0.750
Pr  0.333  0.667  0.750
Pr  0.667  0.333  0.250
I  0.028  0.372  0.629
I  0.028  0.656  0.871
I  0.344  0.372  0.871
I  0.344  0.972  0.629
I  0.372  0.028  0.129
I  0.372  0.344  0.371
I  0.628  0.656  0.629
I  0.628  0.972  0.871
I  0.656  0.028  0.371
I  0.656  0.628  0.129
I  0.972  0.344  0.129
I  0.972  0.628  0.371

=====

10.
## ZrPaCrN3 (PBE)

Data for an optimized crystal structure of ZrPaCrN3.

Properties
ΔE_f (raw) ... -1.23 eV/atom
Mass density ... 8722 kg/m³
Space-group type ... No. 11

Lattice parameters (Å, degrees): 7.101 3.180 7.172 90.00 101.77 90.00
Positions (direct):
Zr  0.152  0.250  0.163
Zr  0.848  0.750  0.837
Pa  0.321  0.750  0.801
Pa  0.679  0.250  0.199
Cr  0.404  0.750  0.410
Cr  0.596  0.250  0.590
N  0.085  0.250  0.844
N  0.311  0.250  0.535
N  0.383  0.750  0.134
N  0.617  0.250  0.866
N  0.689  0.750  0.465
N  0.915  0.750  0.156

=====

11.
## BaNaSmCl6 (PBE)

Data for an optimized crystal structure of BaNaSmCl6.

Properties
ΔE_f (raw) ... -2.25 eV/atom
Mass density ... 2925 kg/m³
Space-group type ... No. 163

Lattice parameters (Å, degrees): 7.190 7.190 13.275 90.00 90.00 120.00
Positions (direct):
Ba  0.000  0.000  0.000
Ba  0.000  0.000  0.500
Na  0.333  0.667  0.250
Na  0.667  0.333  0.750
Sm  0.333  0.667  0.750
Sm  0.667  0.333  0.250
Cl  0.013  0.363  0.635
Cl  0.013  0.651  0.865
Cl  0.349  0.363  0.865
Cl  0.349  0.987  0.635
Cl  0.363  0.013  0.135
Cl  0.363  0.349  0.365
Cl  0.637  0.651  0.635
Cl  0.637  0.987  0.865
Cl  0.651  0.013  0.365
Cl  0.651  0.637  0.135
Cl  0.987  0.349  0.135
Cl  0.987  0.637  0.365